(1)
The following is a PBE calculation of SbPbBr2 after structural relaxation, from Alexandria via LeMat-Bulk.

Computed properties:
DOS at the Fermi energy: 4.99 states/eV/cell
Formation energy without anion corrections: -58 meV per atom
Electronic total energy: -22.8 eV/cell
Energy above the most stable polymorph in this dataset: 256 meV/atom

Unit cell a=6.9652 b=9.2719 c=3.5223 alpha=90.00 beta=90.00 gamma=90.00
Space group Cmmm (No. 65)
Asymmetric unit:
Sb1 0.0000 0.0000 0.0000
Pb1 0.0000 0.5000 0.0000
Br1 0.2500 0.2500 0.5000

(2)
The following is a PBE calculation of Sb4Pb6Br after structural relaxation, from Alexandria via LeMat-Bulk.

Computed properties:
DOS at the Fermi energy: 19.23 states/eV/cell
Formation energy without anion corrections: -67 meV per atom
Electronic total energy: -164.6 eV/cell

Unit cell a=4.5367 b=15.0836 c=22.6211 alpha=90.00 beta=90.00 gamma=90.00
Space group Cmcm (No. 63)
Asymmetric unit:
Sb1 0.0000 0.0899 0.1269
Sb2 0.0000 0.3699 0.0511
Pb1 0.0000 0.0000 0.0000
Pb2 0.0000 0.1732 0.2500
Pb3 0.0000 0.2746 0.5709
Pb4 0.0000 0.4695 0.1729
Br1 0.0000 0.1947 0.7500

(3)
The following is a PBE calculation of SbPbBr after structural relaxation, from Alexandria via LeMat-Bulk.

Computed properties:
DOS at the Fermi energy: 2.98 states/eV/cell
Formation energy without anion corrections: -121 meV per atom
Electronic total energy: -19.7 eV/cell
Energy above the most stable polymorph in this dataset: 0 meV/atom

Unit cell a=3.5433 b=3.5433 c=16.0119 alpha=90.00 beta=90.00 gamma=90.00
Space group I4mm (No. 107)
Asymmetric unit:
Sb1 0.0000 0.0000 0.0000
Pb1 0.0000 0.0000 0.6540
Br1 0.0000 0.0000 0.2737

(4)
The following is a PBE calculation of SbPbBr2 after structural relaxation, from Alexandria via LeMat-Bulk.

Computed properties:
DOS at the Fermi energy: 3.96 states/eV/cell
Formation energy without anion corrections: -125 meV per atom
Electronic total energy: -23.4 eV/cell
Energy above the most stable polymorph in this dataset: 188 meV/atom

Unit cell a=4.4045 b=4.4045 c=12.4394 alpha=90.00 beta=90.00 gamma=90.00
Space group I-4m2 (No. 119)
Asymmetric unit:
Sb1 0.0000 0.0000 0.0000
Pb1 0.0000 0.5000 0.2500
Br1 0.0000 0.0000 0.5000
Br2 0.0000 0.5000 0.7500

(5)
The following is a PBE calculation of Sb2PbBr after structural relaxation, from Alexandria via LeMat-Bulk.

Computed properties:
DOS at the Fermi energy: 1.15 states/eV/cell
Formation energy without anion corrections: -164 meV per atom
Electronic total energy: -14.3 eV/cell
Energy above the most stable polymorph in this dataset: 0 meV/atom

Unit cell a=3.8619 b=3.8619 c=8.3001 alpha=90.00 beta=90.00 gamma=90.00
Space group P4mm (No. 99)
Asymmetric unit:
Sb1 0.0000 0.0000 0.0000
Sb2 0.5000 0.5000 0.1669
Pb1 0.5000 0.5000 0.7387
Br1 0.0000 0.0000 0.5182

(6)
The following is a PBE calculation of Sb2PbBr after structural relaxation, from Alexandria via LeMat-Bulk.

Computed properties:
DOS at the Fermi energy: 5.67 states/eV/cell
Formation energy without anion corrections: 118 meV per atom
Electronic total energy: -39.5 eV/cell
Energy above the most stable polymorph in this dataset: 282 meV/atom

Unit cell a=3.5781 b=3.5781 c=30.7685 alpha=90.00 beta=90.00 gamma=120.00
Space group R-3m (No. 166, hexagonal axes)
Asymmetric unit:
Sb1 0.0000 0.0000 0.2477
Pb1 0.0000 0.0000 0.0000
Br1 0.0000 0.0000 0.5000